Density functional theory data (PBE) for a relaxed structure of Sc2Ga3Rh4.

Cell lengths 7.8314, 4.3327, 8.2522 Å; angles 90.00, 94.45, 90.00 degrees
Space group C2/m (No. 12)
Inequivalent atoms, fractional coordinates:
Sc: 0.1850 0.0000 0.2223 (multiplicity 4)
Ga: 0.0000 0.5000 0.0000 (multiplicity 2)
Ga: 0.1448 0.0000 0.5812 (multiplicity 4)
Rh: 0.0333 0.5000 0.3309 (multiplicity 4)
Rh: 0.1559 0.0000 0.8956 (multiplicity 4)

Calculated values
E_form: -832 meV/atom
DFT total energy: -6.515 eV per atom
volume: 279.16 Å³/cell

=====

Density functional theory data (PBE) for a relaxed structure of K2MnMo.

Cell lengths 4.2084, 4.2084, 12.1558 Å; angles 90.00, 90.00, 90.00 degrees
Space group I4/mmm (No. 139)
Inequivalent atoms, fractional coordinates:
K: 0.0000 0.5000 0.2500 (multiplicity 4)
Mn: 0.0000 0.0000 0.0000 (multiplicity 2)
Mo: 0.0000 0.0000 0.5000 (multiplicity 2)

Calculated values
E_form: 1446 meV/atom
energy above the most stable polymorph in this dataset: 2.551 eV/f.u.
DFT total energy: -4.103 eV per atom
volume: 215.29 Å³/cell

=====

Density functional theory data (PBE) for a relaxed structure of Rb2BiSF6.

Cell lengths 6.3080, 6.3080, 11.1193 Å; angles 90.00, 90.00, 90.00 degrees
Space group I4/mmm (No. 139)
Inequivalent atoms, fractional coordinates:
Rb: 0.0000 0.5000 0.2500 (multiplicity 4)
Bi: 0.0000 0.0000 0.0000 (multiplicity 2)
S: 0.0000 0.0000 0.5000 (multiplicity 2)
F: 0.0000 0.0000 0.2020 (multiplicity 4)
F: 0.2470 0.2470 0.5000 (multiplicity 8)

Calculated values
E_form (uncorrected): -1.97 eV per atom
DFT total energy: -4.083 eV per atom
volume: 442.44 Å³/cell

=====

Density functional theory data (PBE) for a relaxed structure of SiTeRh2.

Cell lengths 3.0949, 3.0949, 23.9495 Å; angles 90.00, 90.00, 120.00 degrees
Space group R-3m (No. 166, hexagonal axes)
Inequivalent atoms, fractional coordinates:
Si: 0.0000 0.0000 0.0000 (multiplicity 3)
Te: 0.0000 0.0000 0.5000 (multiplicity 3)
Rh: 0.0000 0.0000 0.2632 (multiplicity 6)

Calculated values
E_form (uncorrected): -0.26 eV per atom
energy above the most stable polymorph in this dataset: 0.625 eV/f.u.
DFT total energy: -6.074 eV per atom
volume: 198.66 Å³/cell